# 1
! Ba2AlTc PBE relaxed; values from VASP
&SYSTEM
  ibrav = 0, nat = 4, ntyp = 3
/
ATOMIC_SPECIES
Ba 137.33 Ba.upf
Al 26.98 Al.upf
Tc 98.00 Tc.upf
CELL_PARAMETERS angstrom
9.7918 -1.8176 0.0000
9.7918 1.8176 0.0000
-0.6888 0.0000 3.6855
ATOMIC_POSITIONS crystal
Ba 0.1461 0.1461 0.1402
Ba 0.8539 0.8539 0.8598
Al 0.0000 0.0000 0.5000
Tc 0.5000 0.5000 0.0000
! Total moment   0.00 μB per formula unit
! Calculated total energy   -16.80 eV/f.u.
! Formation enthalpy at 0 K   0.288 eV per atom

---

# 2
! Ru3Rh PBE relaxed; values from VASP
&SYSTEM
  ibrav = 0, nat = 24, ntyp = 2
/
ATOMIC_SPECIES
Ru 101.07 Ru.upf
Rh 102.91 Rh.upf
CELL_PARAMETERS angstrom
5.4190 0.0000 0.0000
0.0000 13.1696 0.0000
0.0000 0.0000 4.7037
ATOMIC_POSITIONS crystal
Ru 0.0008 0.0862 0.1682
Ru 0.0006 0.2500 0.4997
Ru 0.0008 0.4138 0.1682
Ru 0.2500 0.2500 0.9997
Ru 0.2500 0.5844 0.3334
Ru 0.2500 0.9156 0.3334
Ru 0.4992 0.0862 0.1682
Ru 0.4994 0.2500 0.4997
Ru 0.4992 0.4138 0.1682
Ru 0.5008 0.5862 0.8318
Ru 0.5006 0.7500 0.5003
Ru 0.5008 0.9138 0.8318
Ru 0.7500 0.0844 0.6666
Ru 0.7500 0.4156 0.6666
Ru 0.7500 0.7500 0.0003
Ru 0.9992 0.5862 0.8318
Ru 0.9994 0.7500 0.5003
Ru 0.9992 0.9138 0.8318
Rh 0.2500 0.0842 0.6666
Rh 0.2500 0.4158 0.6666
Rh 0.2500 0.7500 0.0028
Rh 0.7500 0.2500 0.9972
Rh 0.7500 0.5842 0.3334
Rh 0.7500 0.9158 0.3334
! Total moment   0.00 μB per formula unit
! Calculated total energy   -34.91 eV/f.u.
! Formation enthalpy at 0 K   0.066 eV per atom

---

# 3
! AlInPt2 PBE relaxed; values from VASP
&SYSTEM
  ibrav = 0, nat = 4, ntyp = 3
/
ATOMIC_SPECIES
Al 26.98 Al.upf
In 114.82 In.upf
Pt 195.08 Pt.upf
CELL_PARAMETERS angstrom
4.5008 0.0000 0.0000
0.0000 4.5008 0.0000
0.0000 0.0000 3.2673
ATOMIC_POSITIONS crystal
Al 0.0000 0.0000 0.0000
In 0.5000 0.5000 0.0000
Pt 0.0000 0.5000 0.5000
Pt 0.5000 0.0000 0.5000
! Total moment   0.00 μB per formula unit
! Calculated total energy   -20.90 eV/f.u.
! Formation enthalpy at 0 K   -0.584 eV per atom

---

# 4
! Ba8Te3PI4 PBE relaxed; values from VASP
&SYSTEM
  ibrav = 0, nat = 16, ntyp = 4
/
ATOMIC_SPECIES
Ba 137.33 Ba.upf
Te 127.60 Te.upf
P 30.97 P.upf
I 126.90 I.upf
CELL_PARAMETERS angstrom
4.9499 2.8578 8.1929
-4.9499 2.8578 8.1929
0.0000 -5.7156 8.1929
ATOMIC_POSITIONS crystal
Ba 0.2437 0.2437 0.2437
Ba 0.2602 0.7286 0.7286
Ba 0.2714 0.2714 0.7398
Ba 0.2714 0.7398 0.2714
Ba 0.7286 0.2602 0.7286
Ba 0.7286 0.7286 0.2602
Ba 0.7398 0.2714 0.2714
Ba 0.7563 0.7563 0.7563
Te 0.0000 0.0000 0.5000
Te 0.0000 0.5000 0.0000
Te 0.5000 0.0000 0.0000
P 0.5000 0.5000 0.5000
I 0.0000 0.0000 0.0000
I 0.0000 0.5000 0.5000
I 0.5000 0.0000 0.5000
I 0.5000 0.5000 0.0000
! Total moment   0.00 μB per formula unit
! Calculated total energy   -61.22 eV/f.u.
! Formation energy without anion corrections   -1.55 eV per atom

---

# 5
! Sm2HfTl3Te6 PBE relaxed; values from VASP
&SYSTEM
  ibrav = 0, nat = 12, ntyp = 4
/
ATOMIC_SPECIES
Sm 150.36 Sm.upf
Hf 178.49 Hf.upf
Tl 204.38 Tl.upf
Te 127.60 Te.upf
CELL_PARAMETERS angstrom
3.7937 -6.5578 0.0000
3.7937 6.5578 0.0000
-2.5255 0.0000 8.2526
ATOMIC_POSITIONS crystal
Sm 0.1655 0.8345 0.0000
Sm 0.8345 0.1655 0.0000
Hf 0.5000 0.5000 0.0000
Tl 0.0000 0.0000 0.5000
Tl 0.3261 0.6739 0.5000
Tl 0.6739 0.3261 0.5000
Te 0.1171 0.4296 0.7880
Te 0.2612 0.2612 0.2180
Te 0.4296 0.1171 0.7880
Te 0.5704 0.8829 0.2120
Te 0.7388 0.7388 0.7820
Te 0.8829 0.5704 0.2120
! Total moment   0.00 μB per formula unit
! Calculated total energy   -55.86 eV/f.u.
! Formation energy without anion corrections   -0.88 eV per atom

---

# 6
! InSiTc2 PBE relaxed; values from VASP
&SYSTEM
  ibrav = 0, nat = 4, ntyp = 3
/
ATOMIC_SPECIES
In 114.82 In.upf
Si 28.09 Si.upf
Tc 98.00 Tc.upf
CELL_PARAMETERS angstrom
2.9989 0.0000 0.0000
0.0000 3.6864 0.0000
-1.0273 0.0000 5.7628
ATOMIC_POSITIONS crystal
In 0.0000 0.0000 0.0000
Si 0.0000 0.0000 0.5000
Tc 0.3627 0.5000 0.7111
Tc 0.6373 0.5000 0.2889
! Total moment   0.00 μB per formula unit
! Calculated total energy   -28.84 eV/f.u.
! Formation energy without anion corrections   0.01 eV per atom
! Offset from the most stable computed form   0.098 eV per atom

---

# 7
! SmY2Mg4 PBE relaxed; values from VASP
&SYSTEM
  ibrav = 0, nat = 7, ntyp = 3
/
ATOMIC_SPECIES
Sm 150.36 Sm.upf
Y 88.91 Y.upf
Mg 24.30 Mg.upf
CELL_PARAMETERS angstrom
-2.7008 2.7008 7.2776
2.7008 -2.7008 7.2776
2.7008 2.7008 -7.2776
ATOMIC_POSITIONS crystal
Sm 0.0000 0.0000 0.0000
Y 0.2513 0.2513 0.0000
Y 0.7487 0.7487 0.0000
Mg 0.1186 0.6186 0.5000
Mg 0.3814 0.8814 0.5000
Mg 0.6186 0.1186 0.5000
Mg 0.8814 0.3814 0.5000
! Total moment   0.43 μB per formula unit
! Calculated total energy   -23.18 eV/f.u.
! Formation enthalpy at 0 K   0.121 eV per atom

---

# 8
! AcPrNd3Sm PBE relaxed; values from VASP
&SYSTEM
  ibrav = 0, nat = 12, ntyp = 4
/
ATOMIC_SPECIES
Ac 227.00 Ac.upf
Pr 140.91 Pr.upf
Nd 144.24 Nd.upf
Sm 150.36 Sm.upf
CELL_PARAMETERS angstrom
10.4735 -2.9608 0.0000
10.4735 2.9608 0.0000
-0.1204 0.0000 7.1800
ATOMIC_POSITIONS crystal
Ac 0.1479 0.1479 0.0372
Ac 0.8521 0.8521 0.9628
Pr 0.4450 0.4450 0.7233
Pr 0.5550 0.5550 0.2767
Nd 0.0178 0.0178 0.7460
Nd 0.2812 0.2812 0.7306
Nd 0.3383 0.3383 0.2538
Nd 0.6617 0.6617 0.7462
Nd 0.7188 0.7188 0.2694
Nd 0.9822 0.9822 0.2540
Sm 0.1439 0.1439 0.4898
Sm 0.8561 0.8561 0.5102
! Total moment   0.00 μB per formula unit
! Calculated total energy   -26.82 eV/f.u.
! Formation enthalpy at 0 K   0.181 eV per atom

---

# 9
! Tb5ErAg6 PBE relaxed; values from VASP
&SYSTEM
  ibrav = 0, nat = 12, ntyp = 3
/
ATOMIC_SPECIES
Tb 158.93 Tb.upf
Er 167.26 Er.upf
Ag 107.87 Ag.upf
CELL_PARAMETERS angstrom
2.5880 -7.7686 0.0000
2.5880 7.7686 0.0000
0.0000 0.0000 7.2250
ATOMIC_POSITIONS crystal
Tb 0.0000 0.0000 0.0000
Tb 0.3329 0.6671 0.0000
Tb 0.3337 0.6663 0.5000
Tb 0.6663 0.3337 0.5000
Tb 0.6671 0.3329 0.0000
Er 0.0000 0.0000 0.5000
Ag 0.1655 0.8345 0.2517
Ag 0.1655 0.8345 0.7483
Ag 0.5000 0.5000 0.2530
Ag 0.5000 0.5000 0.7470
Ag 0.8345 0.1655 0.2517
Ag 0.8345 0.1655 0.7483
! Total moment   0.00 μB per formula unit
! Calculated total energy   -48.65 eV/f.u.
! Formation enthalpy at 0 K   -0.319 eV per atom

---

# 10
! Ba2NaPuO5 PBE relaxed; values from VASP
&SYSTEM
  ibrav = 0, nat = 18, ntyp = 4
/
ATOMIC_SPECIES
Ba 137.33 Ba.upf
Na 22.99 Na.upf
Pu 244.00 Pu.upf
O 16.00 O.upf
CELL_PARAMETERS angstrom
1.7982 -7.8987 0.0000
1.7982 7.8987 0.0000
0.0000 0.0000 11.0958
ATOMIC_POSITIONS crystal
Ba 0.1166 0.8834 0.5000
Ba 0.1195 0.8805 0.0591
Ba 0.8805 0.1195 0.5591
Ba 0.8834 0.1166 0.0000
Na 0.4815 0.5185 0.2625
Na 0.5185 0.4815 0.7625
Pu 0.2268 0.7732 0.7813
Pu 0.7732 0.2268 0.2813
O 0.1021 0.8979 0.7879
O 0.2748 0.7252 0.4072
O 0.2787 0.7213 0.1549
O 0.3554 0.6446 0.7791
O 0.4993 0.5007 0.0435
O 0.5007 0.4993 0.5435
O 0.6446 0.3554 0.2791
O 0.7213 0.2787 0.6549
O 0.7252 0.2748 0.9072
O 0.8979 0.1021 0.2879
! Total moment   3.00 μB per formula unit
! Calculated total energy   -67.09 eV/f.u.
! Formation energy without anion corrections   -2.53 eV per atom

---

# 11
! Ca3La2ThTe6 PBE relaxed; values from VASP
&SYSTEM
  ibrav = 0, nat = 12, ntyp = 4
/
ATOMIC_SPECIES
Ca 40.08 Ca.upf
La 138.91 La.upf
Th 232.04 Th.upf
Te 127.60 Te.upf
CELL_PARAMETERS angstrom
9.9807 -2.2237 0.0000
9.9807 2.2237 0.0000
-2.5298 0.0000 8.8284
ATOMIC_POSITIONS crystal
Ca 0.0000 0.0000 0.0000
Ca 0.3316 0.3316 0.6718
Ca 0.6684 0.6684 0.3282
La 0.3396 0.3396 0.1814
La 0.6604 0.6604 0.8186
Th 0.0000 0.0000 0.5000
Te 0.1669 0.1669 0.0826
Te 0.1674 0.1674 0.5689
Te 0.4941 0.4941 0.7511
Te 0.5059 0.5059 0.2489
Te 0.8326 0.8326 0.4311
Te 0.8331 0.8331 0.9174
! Total moment   0.00 μB per formula unit
! Calculated total energy   -59.84 eV/f.u.
! Formation energy without anion corrections   -1.48 eV per atom

---

# 12
! SrSc2Cu2 PBE relaxed; values from VASP
&SYSTEM
  ibrav = 0, nat = 10, ntyp = 3
/
ATOMIC_SPECIES
Sr 87.62 Sr.upf
Sc 44.96 Sc.upf
Cu 63.55 Cu.upf
CELL_PARAMETERS angstrom
7.9916 0.0000 0.0000
0.0000 7.9916 0.0000
0.0000 0.0000 3.5299
ATOMIC_POSITIONS crystal
Sr 0.0000 0.0000 0.0000
Sr 0.5000 0.5000 0.0000
Sc 0.1476 0.3524 0.5000
Sc 0.3524 0.8524 0.5000
Sc 0.6476 0.1476 0.5000
Sc 0.8524 0.6476 0.5000
Cu 0.1208 0.6208 0.0000
Cu 0.3792 0.1208 0.0000
Cu 0.6208 0.8792 0.0000
Cu 0.8792 0.3792 0.0000
! Total moment   0.00 μB per formula unit
! Calculated total energy   -22.35 eV/f.u.
! Offset from the most stable computed form   0.052 eV per atom
! Formation enthalpy at 0 K   0.038 eV per atom

---

# 13
! Pr2MgCu4Si3 PBE relaxed; values from VASP
&SYSTEM
  ibrav = 0, nat = 10, ntyp = 4
/
ATOMIC_SPECIES
Pr 140.91 Pr.upf
Mg 24.30 Mg.upf
Cu 63.55 Cu.upf
Si 28.09 Si.upf
CELL_PARAMETERS angstrom
4.1502 0.0000 0.0000
0.0000 4.1502 0.0000
0.0000 0.0000 10.2258
ATOMIC_POSITIONS crystal
Pr 0.0000 0.5000 0.2340
Pr 0.5000 0.0000 0.7660
Mg 0.0000 0.0000 0.5000
Cu 0.0000 0.0000 0.0000
Cu 0.0000 0.5000 0.6420
Cu 0.5000 0.0000 0.3580
Cu 0.5000 0.5000 0.0000
Si 0.0000 0.5000 0.8731
Si 0.5000 0.0000 0.1269
Si 0.5000 0.5000 0.5000
! Total moment   0.00 μB per formula unit
! Calculated total energy   -48.55 eV/f.u.
! Formation energy without anion corrections   -0.47 eV per atom

---

# 14
! Al2Cu2As PBE relaxed; values from VASP
&SYSTEM
  ibrav = 0, nat = 5, ntyp = 3
/
ATOMIC_SPECIES
Al 26.98 Al.upf
Cu 63.55 Cu.upf
As 74.92 As.upf
CELL_PARAMETERS angstrom
4.4936 0.0000 0.0000
0.0000 4.4936 0.0000
0.0000 0.0000 4.9234
ATOMIC_POSITIONS crystal
Al 0.0000 0.0000 0.0000
Al 0.0000 0.0000 0.5000
Cu 0.0000 0.5000 0.0000
Cu 0.5000 0.0000 0.0000
As 0.5000 0.5000 0.5000
! Total moment   0.00 μB per formula unit
! Calculated total energy   -16.47 eV/f.u.
! Offset from the most stable computed form   0.784 eV per atom
! Formation enthalpy at 0 K   0.771 eV per atom

---

# 15
! BeSiOs PBE relaxed; values from VASP
&SYSTEM
  ibrav = 0, nat = 3, ntyp = 3
/
ATOMIC_SPECIES
Be 9.01 Be.upf
Si 28.09 Si.upf
Os 190.23 Os.upf
CELL_PARAMETERS angstrom
3.9057 0.0000 0.0000
-1.9528 3.3824 0.0000
0.0000 0.0000 2.8330
ATOMIC_POSITIONS crystal
Be 0.0000 0.0000 0.0000
Si 0.6667 0.3333 0.7473
Os 0.3333 0.6667 0.5247
! Total moment   0.00 μB per formula unit
! Calculated total energy   -20.32 eV/f.u.
! Formation energy without anion corrections   0.02 eV per atom

---

# 16
! Sc3Mn5Se12 PBE relaxed; values from VASP
&SYSTEM
  ibrav = 0, nat = 80, ntyp = 3
/
ATOMIC_SPECIES
Sc 44.96 Sc.upf
Mn 54.94 Mn.upf
Se 78.96 Se.upf
CELL_PARAMETERS angstrom
-7.7153 7.7153 7.7153
7.7153 -7.7153 7.7153
7.7153 7.7153 -7.7153
ATOMIC_POSITIONS crystal
Sc 0.1250 0.2500 0.3750
Sc 0.1250 0.3750 0.7500
Sc 0.2500 0.3750 0.1250
Sc 0.2500 0.8750 0.6250
Sc 0.3750 0.1250 0.2500
Sc 0.3750 0.7500 0.1250
Sc 0.6250 0.2500 0.8750
Sc 0.6250 0.8750 0.7500
Sc 0.7500 0.1250 0.3750
Sc 0.7500 0.6250 0.8750
Sc 0.8750 0.6250 0.2500
Sc 0.8750 0.7500 0.6250
Mn 0.0000 0.0000 0.0000
Mn 0.0000 0.0000 0.5000
Mn 0.0000 0.5000 0.0000
Mn 0.0000 0.5000 0.5000
Mn 0.1250 0.7500 0.8750
Mn 0.1250 0.8750 0.2500
Mn 0.2500 0.1250 0.8750
Mn 0.2500 0.6250 0.3750
Mn 0.3750 0.2500 0.6250
Mn 0.3750 0.6250 0.7500
Mn 0.5000 0.0000 0.0000
Mn 0.5000 0.0000 0.5000
Mn 0.5000 0.5000 0.0000
Mn 0.5000 0.5000 0.5000
Mn 0.6250 0.3750 0.2500
Mn 0.6250 0.7500 0.3750
Mn 0.7500 0.3750 0.6250
Mn 0.7500 0.8750 0.1250
Mn 0.8750 0.1250 0.7500
Mn 0.8750 0.2500 0.1250
Se 0.0402 0.2139 0.1285
Se 0.0402 0.3264 0.9118
Se 0.0854 0.7139 0.6736
Se 0.0854 0.8715 0.4118
Se 0.0882 0.6285 0.4146
Se 0.0882 0.9598 0.6736
Se 0.1285 0.0402 0.2139
Se 0.1285 0.5882 0.9146
Se 0.1736 0.2139 0.5854
Se 0.1736 0.4598 0.5882
Se 0.2139 0.1285 0.0402
Se 0.2139 0.5854 0.1736
Se 0.2861 0.3264 0.9146
Se 0.2861 0.4598 0.3715
Se 0.3264 0.9118 0.0402
Se 0.3264 0.9146 0.2861
Se 0.3715 0.2861 0.4598
Se 0.3715 0.5854 0.9118
Se 0.4118 0.0854 0.8715
Se 0.4118 0.8264 0.5402
Se 0.4146 0.0882 0.6285
Se 0.4146 0.8264 0.7861
Se 0.4598 0.3715 0.2861
Se 0.4598 0.5882 0.1736
Se 0.5402 0.4118 0.8264
Se 0.5402 0.6285 0.7139
Se 0.5854 0.1736 0.2139
Se 0.5854 0.9118 0.3715
Se 0.5882 0.1736 0.4598
Se 0.5882 0.9146 0.1285
Se 0.6285 0.4146 0.0882
Se 0.6285 0.7139 0.5402
Se 0.6736 0.0854 0.7139
Se 0.6736 0.0882 0.9598
Se 0.7139 0.5402 0.6285
Se 0.7139 0.6736 0.0854
Se 0.7861 0.4146 0.8264
Se 0.7861 0.8715 0.9598
Se 0.8264 0.5402 0.4118
Se 0.8264 0.7861 0.4146
Se 0.8715 0.4118 0.0854
Se 0.8715 0.9598 0.7861
Se 0.9118 0.0402 0.3264
Se 0.9118 0.3715 0.5854
Se 0.9146 0.1285 0.5882
Se 0.9146 0.2861 0.3264
Se 0.9598 0.6736 0.0882
Se 0.9598 0.7861 0.8715
! Total moment   20.01 μB per formula unit
! Calculated total energy   -121.92 eV/f.u.
! Formation energy without anion corrections   -0.76 eV per atom

---

# 17
! BaSiWBr2 PBE relaxed; values from VASP
&SYSTEM
  ibrav = 0, nat = 5, ntyp = 4
/
ATOMIC_SPECIES
Ba 137.33 Ba.upf
Si 28.09 Si.upf
W 183.84 W.upf
Br 79.90 Br.upf
CELL_PARAMETERS angstrom
6.0774 0.0000 0.0000
0.0000 6.0774 0.0000
0.0000 0.0000 6.9593
ATOMIC_POSITIONS crystal
Ba 0.0000 0.0000 0.0000
Si 0.0000 0.0000 0.5000
W 0.5000 0.5000 0.5000
Br 0.0000 0.5000 0.0000
Br 0.5000 0.0000 0.0000
! Total moment   3.29 μB per formula unit
! Calculated total energy   -17.61 eV/f.u.
! Formation energy without anion corrections   1.21 eV per atom

---

# 18
! K2AuCl PBE relaxed; values from VASP
&SYSTEM
  ibrav = 0, nat = 4, ntyp = 3
/
ATOMIC_SPECIES
K 39.10 K.upf
Au 196.97 Au.upf
Cl 35.45 Cl.upf
CELL_PARAMETERS angstrom
5.1410 0.0000 0.0000
0.0000 2.0855 6.2398
0.0000 -2.0855 6.2398
ATOMIC_POSITIONS crystal
K 0.0000 0.0000 0.0000
K 0.5000 0.2461 0.2461
Au 0.0000 0.7323 0.7323
Cl 0.5000 0.5003 0.5003
! Total moment   0.00 μB per formula unit
! Calculated total energy   -11.52 eV/f.u.
! Formation energy without anion corrections   -1.05 eV per atom
! Offset from the most stable computed form   0.074 eV per atom

---

# 19
! Ca2LaPr2 PBE relaxed; values from VASP
&SYSTEM
  ibrav = 0, nat = 10, ntyp = 3
/
ATOMIC_SPECIES
Ca 40.08 Ca.upf
La 138.91 La.upf
Pr 140.91 Pr.upf
CELL_PARAMETERS angstrom
9.6752 0.0000 0.0000
0.0000 9.6752 0.0000
0.0000 0.0000 4.1050
ATOMIC_POSITIONS crystal
Ca 0.1724 0.3276 0.0000
Ca 0.3276 0.8276 0.0000
Ca 0.6724 0.1724 0.0000
Ca 0.8276 0.6724 0.0000
La 0.0000 0.0000 0.5000
La 0.5000 0.5000 0.5000
Pr 0.1263 0.6263 0.5000
Pr 0.3737 0.1263 0.5000
Pr 0.6263 0.8737 0.5000
Pr 0.8737 0.3737 0.5000
! Total moment   0.00 μB per formula unit
! Calculated total energy   -17.64 eV/f.u.
! Offset from the most stable computed form   0.141 eV per atom
! Formation enthalpy at 0 K   0.169 eV per atom

---

# 20
! CdMo2Se2 PBE relaxed; values from VASP
&SYSTEM
  ibrav = 0, nat = 5, ntyp = 3
/
ATOMIC_SPECIES
Cd 112.41 Cd.upf
Mo 95.94 Mo.upf
Se 78.96 Se.upf
CELL_PARAMETERS angstrom
-2.5050 2.5050 4.1487
2.5050 -2.5050 4.1487
2.5050 2.5050 -4.1487
ATOMIC_POSITIONS crystal
Cd 0.0000 0.0000 0.0000
Mo 0.3687 0.3687 0.0000
Mo 0.6313 0.6313 0.0000
Se 0.2500 0.7500 0.5000
Se 0.7500 0.2500 0.5000
! Total moment   0.00 μB per formula unit
! Calculated total energy   -28.66 eV/f.u.
! Formation energy without anion corrections   0.18 eV per atom